(P)
# ZrTe2AuI | Alexandria | PBE-GGA | relaxed
# magnetic moment: 0.000 μB per atom
# Fermi-level density of states: 2.736 states/eV/cell
data_ZrTe2AuI
_cell_length_a 5.611
_cell_length_b 5.611
_cell_length_c 5.675
_cell_angle_alpha 90.00
_cell_angle_beta 90.00
_cell_angle_gamma 90.00
_symmetry_space_group_name_H-M 'P 4/m m m'
_symmetry_Int_Tables_number 123
_symmetry_space_group_name_Hall '-P 4 2'
loop_
_atom_site_label
_atom_site_type_symbol
_atom_site_fract_x
_atom_site_fract_y
_atom_site_fract_z
Zr1 Zr 0.000 0.000 0.000
Te1 Te 0.000 0.500 0.000
Au1 Au 0.500 0.500 0.500
I1 I 0.000 0.000 0.500

(Q)
# ZrTe2AuI | Alexandria | PBE-GGA | relaxed
# magnetic moment: 0.227 μB per atom
# Fermi-level density of states: 6.049 states/eV/cell
data_ZrTe2AuI
_cell_length_a 5.464
_cell_length_b 5.464
_cell_length_c 5.351
_cell_angle_alpha 90.00
_cell_angle_beta 90.00
_cell_angle_gamma 90.00
_symmetry_space_group_name_H-M 'P 4/m m m'
_symmetry_Int_Tables_number 123
_symmetry_space_group_name_Hall '-P 4 2'
loop_
_atom_site_label
_atom_site_type_symbol
_atom_site_fract_x
_atom_site_fract_y
_atom_site_fract_z
Zr1 Zr 0.000 0.000 0.000
Te1 Te 0.000 0.500 0.500
Au1 Au 0.500 0.500 0.500
I1 I 0.500 0.500 0.000

The most stable structure shown above is (P); the least stable is (Q).